BiAs2BrF: single point on PBEsol structure, SCAN.

POSCAR file:
```
BiAs2BrF
1.0
4.394 0.000 0.000
0.000 4.394 0.000
0.000 0.000 5.483
Bi As Br F
1 2 1 1
Direct
0.000 0.000 0.000 Bi
0.000 0.500 0.500 As
0.500 0.000 0.500 As
0.500 0.500 0.000 Br
0.500 0.500 0.500 F
```

## Properties
Energy relative to the elements, uncorrected: 0.802 eV per formula unit
Calculated total energy: -28.2316 eV/atom

***

SiSb2MoPb: single point on PBEsol structure, SCAN.

POSCAR file:
```
SiSb2MoPb
1.0
5.256 0.000 0.000
0.000 5.256 0.000
0.000 0.000 4.645
Si Sb Mo Pb
1 2 1 1
Direct
0.000 0.000 0.000 Si
0.000 0.500 0.000 Sb
0.500 0.000 0.000 Sb
0.000 0.000 0.500 Mo
0.500 0.500 0.500 Pb
```

## Properties
Energy relative to the elements, uncorrected: 4.399 eV per formula unit
Calculated total energy: -38.1609 eV/atom

***

CoCuB2: single point on PBEsol structure, SCAN.

POSCAR file:
```
CoCuB2
1.0
-1.698 1.698 6.879
1.698 -1.698 6.879
1.698 1.698 -6.879
Co Cu B
2 2 4
Direct
0.375 0.625 0.750 Co
0.625 0.375 0.250 Co
0.125 0.875 0.250 Cu
0.875 0.125 0.750 Cu
0.000 0.500 0.500 B
0.500 0.000 0.000 B
0.500 0.500 0.000 B
0.500 0.500 0.500 B
```

## Properties
Energy above the lowest structure with this stoichiometry: 0 meV per atom
Calculated total energy: -11.4237 eV/atom
Formation enthalpy at 0 K: 0.417 eV per atom